A plane-wave DFT calculation with GGA+U was carried out for crystalline MgMn2IO6 at its relaxed geometry.

Cell lengths 5.3371, 5.4641, 5.6490 Å; angles 118.31, 90.10, 118.58 degrees
With the nearest neighbours (Å) after each atom.
Fractional positions:
1 Mg 0.0000 0.0000 0.0000  6 O 2.10-2.28
2 Mn 0.1994 0.3939 0.6075  4 O 1.98-2.06
3 Mn 0.7125 0.4352 0.1654  3 O 2.08-2.09
4 I 0.5121 0.0070 0.5288  4 O 1.99-2.16
5 O 0.0979 0.4973 0.3438  2 Mn 1.98-2.09
6 O 0.2983 0.2167 0.8102  1 Mn 2.02, 1 Mg 2.12, 1 I 2.16
7 O 0.3832 0.2142 0.3224  2 Mn 1.99-2.08, 1 Mg 2.13
8 O 0.6049 0.9129 0.8049  1 I 1.99, 1 Mg 2.10
9 O 0.7861 0.9009 0.3099  1 I 2.04, 2 Mn 2.09-2.23, 1 Mg 2.23
10 O 0.8951 0.4761 0.7985  1 Mn 2.06, 1 I 2.08, 1 Mg 2.28

## Properties
total magnetization	9.000	μB per cell
crystal system	triclinic
electronic total energy	-6.111	eV/atom
V	12.166	A^3/atom